[1]
Entry from Alexandria via LeMat-Bulk: crystalline YPu2F11 at its relaxed geometry (PBE).

Total energy = -0.279 Ha/atom
Uncorrected formation energy = -3.62 eV/atom

a = 8.426 Å, b = 8.611 Å, c = 8.611 Å
α = 73.00°, β = 60.71°, γ = 60.71°
Positions (direct):
1 Y 0.750 0.750 0.750
2 Y 0.250 0.250 0.250
3 Pu 0.654 0.681 0.319
4 Pu 0.346 0.319 0.681
5 Pu 0.846 0.181 0.819
6 Pu 0.154 0.819 0.181
7 F 0.646 0.705 0.569
8 F 0.354 0.295 0.431
9 F 0.080 0.569 0.705
10 F 0.854 0.931 0.795
11 F 0.920 0.431 0.295
12 F 0.146 0.069 0.205
13 F 0.420 0.795 0.931
14 F 0.580 0.205 0.069
15 F 0.500 0.500 0.500
16 F 0.000 0.000 0.000
17 F 0.869 0.788 0.212
18 F 0.131 0.212 0.788
19 F 0.631 0.288 0.712
20 F 0.369 0.712 0.288
21 F 0.446 0.963 0.320
22 F 0.554 0.037 0.680
23 F 0.271 0.320 0.963
24 F 0.054 0.180 0.537
25 F 0.729 0.680 0.037
26 F 0.946 0.820 0.463
27 F 0.229 0.537 0.180
28 F 0.771 0.463 0.820

=====

[2]
Entry from Alexandria via LeMat-Bulk: crystalline Y2PuF at its relaxed geometry (PBE).

Total energy = -0.297 Ha/atom
Uncorrected formation energy = -0.79 eV/atom

a = 3.544 Å, b = 3.544 Å, c = 9.532 Å
α = 79.29°, β = 79.29°, γ = 60.00°
Positions (direct):
1 Y 0.115 0.115 0.655
2 Y 0.885 0.885 0.345
3 F 0.500 0.500 0.500
4 Pu 0.000 0.000 0.000

=====

[3]
Entry from Alexandria via LeMat-Bulk: crystalline YPu2F8 at its relaxed geometry (PBE).

Total energy = -0.301 Ha/atom
Uncorrected formation energy = -3.65 eV/atom

a = 4.040 Å, b = 6.822 Å, c = 7.404 Å
α = 100.59°, β = 90.00°, γ = 107.22°
Positions (direct):
1 Y 0.500 0.000 0.000
2 F 0.440 0.880 0.255
3 F 0.691 0.382 0.073
4 F 0.802 0.605 0.441
5 F 0.926 0.853 0.867
6 F 0.198 0.395 0.559
7 F 0.309 0.618 0.927
8 F 0.560 0.120 0.745
9 F 0.074 0.147 0.133
10 Pu 0.738 0.476 0.735
11 Pu 0.262 0.524 0.265

=====

[4]
Entry from Alexandria via LeMat-Bulk: crystalline Pu2ZnF at its relaxed geometry (PBE).

Total energy = -0.324 Ha/atom
Uncorrected formation energy = -0.87 eV/atom

a = 3.016 Å, b = 3.016 Å, c = 8.451 Å
α = 90.00°, β = 90.00°, γ = 90.00°
Positions (direct):
1 Zn 0.500 0.500 0.500
2 F 0.500 0.500 0.000
3 Pu 0.000 0.000 0.765
4 Pu 0.000 0.000 0.235